[1]
SbTe2O, relaxed, DFT GGA-PBEsol; mass density = 5.94 g/cm³; calculated total energy = -16.98 eV per cell; formation energy from raw total energies = -0.1 eV per formula unit; relative energy among the computed polymorphs = 0.0000 eV per atom; V = 109.8 Å³ per cell; magnetization = 0.00 μB per formula unit
1.0
3.955 0.000 0.000
1.978 3.426 0.000
1.978 1.142 8.101
O Te Sb
1 2 1
Direct
0.000 0.000 0.000
0.083 0.083 0.751
0.917 0.917 0.249
0.500 0.500 0.500

[2]
Sb2Te2O9, relaxed, DFT GGA-PBEsol; mass density = 5.80 g/cm³; calculated total energy = -633.23 eV per cell; formation energy from raw total energies = -15.7 eV per formula unit; V = 1473.2 Å³ per cell; magnetization = 0.00 μB per formula unit
1.0
-0.150 -3.359 3.522
12.525 -5.619 -4.824
4.122 15.625 15.075
O Te Sb
72 16 16
Direct
0.091 0.208 0.009
0.635 0.792 0.706
0.921 0.925 0.210
0.508 0.701 0.473
0.570 0.752 0.898
0.593 0.646 0.573
0.968 0.889 0.316
0.535 0.167 0.739
0.050 0.892 0.788
0.409 0.708 0.009
0.952 0.646 0.405
0.070 0.748 0.102
0.011 0.958 0.093
0.135 0.708 0.294
0.048 0.354 0.595
0.099 0.739 0.635
0.865 0.292 0.706
0.550 0.608 0.212
0.111 0.589 0.510
0.093 0.854 0.427
0.930 0.252 0.898
0.909 0.792 0.991
0.407 0.354 0.427
0.032 0.111 0.684
0.114 0.414 0.003
0.465 0.833 0.261
0.591 0.292 0.991
0.460 0.020 0.233
0.611 0.911 0.490
0.450 0.392 0.788
0.989 0.042 0.907
0.430 0.248 0.102
0.365 0.208 0.294
0.421 0.575 0.790
0.401 0.239 0.635
0.433 0.909 0.875
0.386 0.914 0.003
0.389 0.089 0.510
0.567 0.091 0.125
0.960 0.480 0.767
0.517 0.872 0.117
0.540 0.980 0.767
0.983 0.372 0.117
0.907 0.146 0.573
0.901 0.261 0.365
0.017 0.628 0.883
0.067 0.409 0.875
0.087 0.473 0.382
0.079 0.075 0.790
0.040 0.520 0.233
0.614 0.086 0.997
0.913 0.527 0.618
0.492 0.299 0.527
0.579 0.425 0.210
0.413 0.973 0.382
0.933 0.591 0.125
0.992 0.201 0.473
0.599 0.761 0.365
0.532 0.389 0.316
0.489 0.458 0.093
0.035 0.333 0.261
0.452 0.854 0.595
0.483 0.128 0.883
0.008 0.799 0.527
0.548 0.146 0.405
0.468 0.611 0.684
0.587 0.027 0.618
0.889 0.411 0.490
0.950 0.108 0.212
0.886 0.586 0.997
0.965 0.667 0.739
0.511 0.542 0.907
0.836 0.812 0.233
0.838 0.911 0.720
0.664 0.312 0.233
0.829 0.388 0.939
0.833 0.552 0.443
0.329 0.112 0.061
0.671 0.888 0.939
0.667 0.052 0.443
0.164 0.188 0.767
0.167 0.448 0.557
0.333 0.948 0.557
0.336 0.688 0.767
0.662 0.411 0.720
0.171 0.612 0.061
0.338 0.589 0.280
0.162 0.089 0.280
0.293 0.721 0.553
0.207 0.221 0.553
0.217 0.507 0.841
0.204 0.337 0.346
0.717 0.664 0.945
0.704 0.163 0.654
0.793 0.779 0.447
0.707 0.279 0.447
0.717 0.993 0.159
0.283 0.007 0.841
0.783 0.164 0.945
0.283 0.336 0.055
0.783 0.493 0.159
0.796 0.663 0.654
0.296 0.837 0.346
0.217 0.836 0.055

[3]
SbTeO2, relaxed, DFT GGA-PBEsol; mass density = 7.98 g/cm³; calculated total energy = -18.41 eV per cell; formation energy from raw total energies = 0.2 eV per formula unit; V = 58.5 Å³ per cell; magnetization = 0.00 μB per formula unit
1.0
4.358 0.000 0.000
2.179 3.774 0.000
2.179 1.258 3.558
Sb O Te
1 2 1
Direct
0.000 0.000 0.000
0.750 0.750 0.750
0.250 0.250 0.250
0.500 0.500 0.500

Copy entry 2 word for word.
Sb2Te2O9, relaxed, DFT GGA-PBEsol; mass density = 5.80 g/cm³; calculated total energy = -633.23 eV per cell; formation energy from raw total energies = -15.7 eV per formula unit; V = 1473.2 Å³ per cell; magnetization = 0.00 μB per formula unit
1.0
-0.150 -3.359 3.522
12.525 -5.619 -4.824
4.122 15.625 15.075
O Te Sb
72 16 16
Direct
0.091 0.208 0.009
0.635 0.792 0.706
0.921 0.925 0.210
0.508 0.701 0.473
0.570 0.752 0.898
0.593 0.646 0.573
0.968 0.889 0.316
0.535 0.167 0.739
0.050 0.892 0.788
0.409 0.708 0.009
0.952 0.646 0.405
0.070 0.748 0.102
0.011 0.958 0.093
0.135 0.708 0.294
0.048 0.354 0.595
0.099 0.739 0.635
0.865 0.292 0.706
0.550 0.608 0.212
0.111 0.589 0.510
0.093 0.854 0.427
0.930 0.252 0.898
0.909 0.792 0.991
0.407 0.354 0.427
0.032 0.111 0.684
0.114 0.414 0.003
0.465 0.833 0.261
0.591 0.292 0.991
0.460 0.020 0.233
0.611 0.911 0.490
0.450 0.392 0.788
0.989 0.042 0.907
0.430 0.248 0.102
0.365 0.208 0.294
0.421 0.575 0.790
0.401 0.239 0.635
0.433 0.909 0.875
0.386 0.914 0.003
0.389 0.089 0.510
0.567 0.091 0.125
0.960 0.480 0.767
0.517 0.872 0.117
0.540 0.980 0.767
0.983 0.372 0.117
0.907 0.146 0.573
0.901 0.261 0.365
0.017 0.628 0.883
0.067 0.409 0.875
0.087 0.473 0.382
0.079 0.075 0.790
0.040 0.520 0.233
0.614 0.086 0.997
0.913 0.527 0.618
0.492 0.299 0.527
0.579 0.425 0.210
0.413 0.973 0.382
0.933 0.591 0.125
0.992 0.201 0.473
0.599 0.761 0.365
0.532 0.389 0.316
0.489 0.458 0.093
0.035 0.333 0.261
0.452 0.854 0.595
0.483 0.128 0.883
0.008 0.799 0.527
0.548 0.146 0.405
0.468 0.611 0.684
0.587 0.027 0.618
0.889 0.411 0.490
0.950 0.108 0.212
0.886 0.586 0.997
0.965 0.667 0.739
0.511 0.542 0.907
0.836 0.812 0.233
0.838 0.911 0.720
0.664 0.312 0.233
0.829 0.388 0.939
0.833 0.552 0.443
0.329 0.112 0.061
0.671 0.888 0.939
0.667 0.052 0.443
0.164 0.188 0.767
0.167 0.448 0.557
0.333 0.948 0.557
0.336 0.688 0.767
0.662 0.411 0.720
0.171 0.612 0.061
0.338 0.589 0.280
0.162 0.089 0.280
0.293 0.721 0.553
0.207 0.221 0.553
0.217 0.507 0.841
0.204 0.337 0.346
0.717 0.664 0.945
0.704 0.163 0.654
0.793 0.779 0.447
0.707 0.279 0.447
0.717 0.993 0.159
0.283 0.007 0.841
0.783 0.164 0.945
0.283 0.336 0.055
0.783 0.493 0.159
0.796 0.663 0.654
0.296 0.837 0.346
0.217 0.836 0.055